# SrTl2

A relaxed SrTl2 crystal (PBE, the Alexandria database).

## Properties
As for the formation energy: -0.101 eV per atom. The calculation puts the density of states at the Fermi level at 3.02 states/eV/cell.

Lattice parameters (Å, degrees): 4.532 4.532 5.558 90.00 90.00 90.00
Space group P4/mmm (No. 123)
One atom of each set of equivalent atoms:
Sr: 0.000 0.000 0.000
Tl: 0.000 0.500 0.500

# Sr5Tl3

A relaxed Sr5Tl3 crystal (PBE, the Alexandria database).

## Properties
The value obtained for the energy above the lowest structure with this stoichiometry is 11 meV/atom. As for the formation energy: -0.323 eV per atom. The calculation puts the density of states at the Fermi level at 40.24 states/eV/cell.

Lattice parameters (Å, degrees): 8.902 8.902 16.077 90.00 90.00 90.00
Space group I4/mcm (No. 140)
One atom of each set of equivalent atoms:
Sr: 0.000 0.000 0.000
Sr: 0.170 0.330 0.146
Tl: 0.000 0.000 0.250
Tl: 0.123 0.377 0.500

# Sr3Tl5

A relaxed Sr3Tl5 crystal (PBE, the Alexandria database).

## Properties
The value obtained for the energy above the lowest structure with this stoichiometry is 158 meV/atom. As for the formation energy: -0.201 eV per atom. The calculation puts the density of states at the Fermi level at 12.77 states/eV/cell.

Lattice parameters (Å, degrees): 10.0333 10.0333 6.4215 90.00 90.00 120.00
Space group P6_3/mcm (No. 193)
One atom of each set of equivalent atoms:
Sr: 0.0000 0.3881 0.2500
Tl: 0.0000 0.2048 0.7500
Tl: 0.3333 0.6667 0.0000

# SrTl2

A relaxed SrTl2 crystal (PBE, the Alexandria database).

## Properties
As for the formation energy: -0.246 eV per atom. The calculation puts the density of states at the Fermi level at 29.63 states/eV/cell.

Lattice parameters (Å, degrees): 9.265 9.265 9.265 90.00 90.00 90.00
Space group Fd-3m (No. 227, origin choice 2)
One atom of each set of equivalent atoms:
Sr: 0.125 0.125 0.125
Tl: 0.000 0.000 0.500

# SrTl2

A relaxed SrTl2 crystal (PBE, the Alexandria database).

## Properties
As for the formation energy: -0.156 eV per atom. The calculation puts the density of states at the Fermi level at 6.38 states/eV/cell.

Lattice parameters (Å, degrees): 6.398 6.398 10.802 90.00 90.00 90.00
Space group I4/mcm (No. 140)
One atom of each set of equivalent atoms:
Sr: 0.000 0.000 0.250
Tl: 0.173 0.327 0.000

# SrTl2

A relaxed SrTl2 crystal (PBE, the Alexandria database).

## Properties
As for the formation energy: -0.322 eV per atom. The calculation puts the density of states at the Fermi level at 0.80 states/eV/cell.

Lattice parameters (Å, degrees): 5.2888 5.2888 4.0600 90.00 90.00 120.00
Space group P-3m1 (No. 164)
One atom of each set of equivalent atoms:
Sr: 0.0000 0.0000 0.0000
Tl: 0.3333 0.6667 0.4041